(1)
First-principles (PBE-GGA) data for crystalline Ac6InOs at its relaxed geometry, as listed in the Alexandria database.

a b c (Å): 8.4724 11.4813 7.1862
angles (deg): 90.00 103.84 90.00
Closest atoms and distances in Å follow each position.
Space group C2/m (No. 12)
Unique sites:
Ac 0.1420 0.1764 0.2763 (multiplicity 8)  1 Os 2.89
Ac 0.2179 0.5000 0.1562 (multiplicity 4)  1 Os 2.87
In 0.0000 0.5000 0.5000 (multiplicity 2)  6 Ac 3.42-3.68
Os 0.0000 0.0000 0.0000 (multiplicity 2)  6 Ac 2.87-2.89

Output
The crystal system is monoclinic. The calculation puts the total magnetic moment at 0.00 Bohr magnetons per cell.

=====

(2)
First-principles (PBE-GGA) data for crystalline Ac12In6Os at its relaxed geometry, as listed in the Alexandria database.

a b c (Å): 13.3123 13.3123 14.8453
angles (deg): 90.00 90.00 120.00
Closest atoms and distances in Å follow each position.
Space group R-3 (No. 148, hexagonal axes)
Unique sites:
Ac 0.0335 0.1939 0.3903 (multiplicity 18)  4 In 3.39-3.50
Ac 0.0361 0.8446 0.8829 (multiplicity 18)  1 Os 2.92
In 0.0094 0.3984 0.2585 (multiplicity 18)  8 Ac 3.39-3.70
Os 0.0000 0.0000 0.0000 (multiplicity 3)  6 Ac 2.92

Output
The crystal system is trigonal. The calculation puts the total magnetic moment at 0.00 Bohr magnetons per cell.

=====

(3)
First-principles (PBE-GGA) data for crystalline Ac4In2Os at its relaxed geometry, as listed in the Alexandria database.

a b c (Å): 13.6626 4.4860 9.8347
angles (deg): 90.00 122.86 90.00
Closest atoms and distances in Å follow each position.
Space group C2/m (No. 12)
Unique sites:
Ac 0.0880 0.0000 0.3478 (multiplicity 4)  1 Os 2.95
Ac 0.1599 0.5000 0.0557 (multiplicity 4)  2 Os 2.97
In 0.1264 0.5000 0.6515 (multiplicity 4)  1 In 3.10
Os 0.0000 0.0000 0.0000 (multiplicity 2)  6 Ac 2.95-2.97

Output
The crystal system is monoclinic. The calculation puts the relative energy among the computed polymorphs at 0 meV/atom. The calculation puts the total magnetic moment at 0.00 Bohr magnetons per cell.

=====

| no. | formation enthalpy at 0 K (eV per atom) |
| --- | --- |
| 1 | -0.03 |
| 2 | -0.19 |
| 3 | -0.24 |